A geometry-optimized BaHo3As4O12 structure. Source: Alexandria, functional PBE-GGA.

Cell: 11.3959 11.3959 8.8104 Å, 90.00 90.00 120.00°
Space group R32 (No. 155, hexagonal axes)
Unique sites:
Ba  0.0000  0.0000  0.0000 x3
Ho  0.0000  0.5715  0.0000 x9
As  0.0000  0.0000  0.5000 x3
As  0.0000  0.4097  0.5000 x9
O  0.0000  0.5665  0.5000 x9
O  0.0000  0.8301  0.5000 x9
O  0.0443  0.1991  0.2123 x18

Formation energy from raw total energies ... -1988 meV/atom


A geometry-optimized Ba2HoPaAs4 structure. Source: Alexandria, functional PBE-GGA.

Cell: 7.444 4.361 7.883 Å, 90.00 108.58 90.00°
Space group P2/m (No. 10)
Unique sites:
Ba  0.000  0.000  0.000 x1
Ba  0.500  0.500  0.000 x1
Ho  0.000  0.500  0.500 x1
Pa  0.500  0.000  0.500 x1
As  0.244  0.000  0.705 x2
As  0.273  0.500  0.297 x2

DFT formation energy ... -1.218 eV per atom


A geometry-optimized Ba2HoThAs4 structure. Source: Alexandria, functional PBE-GGA.

Cell: 7.566 4.409 7.940 Å, 90.00 108.75 90.00°
Space group P2/m (No. 10)
Unique sites:
Ba  0.000  0.000  0.000 x1
Ba  0.500  0.500  0.000 x1
Ho  0.000  0.500  0.500 x1
Th  0.500  0.000  0.500 x1
As  0.233  0.000  0.709 x2
As  0.260  0.500  0.289 x2

DFT formation energy ... -1.219 eV per atom


A geometry-optimized Ba2AsI structure. Source: Alexandria, functional PBE-GGA.

Cell: 4.131 4.131 8.739 Å, 90.00 90.00 90.00°
Space group P4/mmm (No. 123)
Unique sites:
Ba  0.000  0.000  0.203 x2
As  0.500  0.500  0.000 x1
I  0.500  0.500  0.500 x1

Formation energy from raw total energies ... -1299 meV/atom


Number 1: Fermi-level density of states 4.5 states/eV/f.u.. Number 2: Fermi-level density of states 0.1 states/eV/f.u.. Number 3: Fermi-level density of states 7.4 states/eV/f.u.. Number 4: Fermi-level density of states 0.3 states/eV/f.u..